YEr2PuO8 | GGA-PBE | optimized geometry

## Properties
**Crystal system**: orthorhombic
**E**: -8.90 eV/atom

```
data_YEr2PuO8
_symmetry_space_group_name_H-M 'C m m m'
_symmetry_Int_Tables_number 65
_symmetry_space_group_name_Hall '-C 2 2'
_cell_length_a 7.1049
_cell_length_b 7.2134
_cell_length_c 6.9366
_cell_angle_alpha 90.00
_cell_angle_beta 90.00
_cell_angle_gamma 90.00
loop_
_atom_site_label
_atom_site_type_symbol
_atom_site_fract_x
_atom_site_fract_y
_atom_site_fract_z
_atom_site_occupancy
Y1 Y 0.0000 0.0000 0.0000 1
Er1 Er 0.0000 0.5000 0.2402 1
Pu1 Pu 0.0000 0.0000 0.5000 1
O1 O 0.0000 0.1857 0.2787 1
O2 O 0.1906 0.5000 0.0000 1
O3 O 0.2183 0.5000 0.5000 1
```